Version A
Compound: SrAg3Pd2
Source: Alexandria via LeMat-Bulk
Functional: PBE
Structure: optimized geometry

CIF file:
```
data_SrAg3Pd2
_symmetry_space_group_name_H-M 'P 6/m m m'
_symmetry_Int_Tables_number 191
_symmetry_space_group_name_Hall '-P 6 2'
_cell_length_a 5.6238
_cell_length_b 5.6238
_cell_length_c 4.5766
_cell_angle_alpha 90.00
_cell_angle_beta 90.00
_cell_angle_gamma 120.00
loop_
_atom_site_label
_atom_site_type_symbol
_atom_site_fract_x
_atom_site_fract_y
_atom_site_fract_z
Sr1 Sr 0.0000 0.0000 0.0000
Ag1 Ag 0.0000 0.5000 0.5000
Pd1 Pd 0.3333 0.6667 0.0000
```

total moment = 0.0 μB per formula unit

Version B
Compound: SrAg3Pd2
Source: Alexandria via LeMat-Bulk
Functional: PBE
Structure: optimized geometry

CIF file:
```
data_SrAg3Pd2
_symmetry_space_group_name_H-M 'R -3 m'
_symmetry_Int_Tables_number 166
_symmetry_space_group_name_Hall '-R 3 2"'
_cell_length_a 6.0957
_cell_length_b 6.0957
_cell_length_c 22.1057
_cell_angle_alpha 90.00
_cell_angle_beta 90.00
_cell_angle_gamma 120.00
loop_
_atom_site_label
_atom_site_type_symbol
_atom_site_fract_x
_atom_site_fract_y
_atom_site_fract_z
Sr1 Sr 0.0000 0.0000 0.2259
Ag1 Ag 0.0086 0.5043 0.2306
Pd1 Pd 0.0000 0.0000 0.0000
Pd2 Pd 0.0000 0.5000 0.0000
```

total moment = 0.0 μB per formula unit

version A (214 meV/atom below the next structure)

Version A
Compound: Sr4AgPd2
Source: Alexandria via LeMat-Bulk
Functional: PBE
Structure: optimized geometry

CIF file:
```
data_Sr4AgPd2
_symmetry_space_group_name_H-M 'I m m a'
_symmetry_Int_Tables_number 74
_symmetry_space_group_name_Hall '-I 2b 2'
_cell_length_a 8.916
_cell_length_b 10.335
_cell_length_c 10.878
_cell_angle_alpha 90.00
_cell_angle_beta 90.00
_cell_angle_gamma 90.00
loop_
_atom_site_label
_atom_site_type_symbol
_atom_site_fract_x
_atom_site_fract_y
_atom_site_fract_z
Sr1 Sr 0.000 0.053 0.230
Sr2 Sr 0.218 0.250 0.531
Ag1 Ag 0.000 0.250 0.773
Pd1 Pd 0.000 0.000 0.500
Pd2 Pd 0.250 0.250 0.250
```

total moment = 0.0 μB per formula unit

Version B
Compound: Sr4AgPd2
Source: Alexandria via LeMat-Bulk
Functional: PBE
Structure: optimized geometry

CIF file:
```
data_Sr4AgPd2
_symmetry_space_group_name_H-M 'C 1 m 1'
_symmetry_Int_Tables_number 8
_cell_length_a 12.435
_cell_length_b 9.394
_cell_length_c 8.417
_cell_angle_alpha 90.00
_cell_angle_beta 109.45
_cell_angle_gamma 90.00
loop_
_symmetry_equiv_pos_as_xyz
'x,y,z'
'x,-y,z'
'x+1/2,y+1/2,z'
'x+1/2,-y+1/2,z'
loop_
_atom_site_label
_atom_site_type_symbol
_atom_site_fract_x
_atom_site_fract_y
_atom_site_fract_z
Sr1 Sr 0.000 0.000 0.000
Sr2 Sr 0.004 0.500 0.489
Sr3 Sr 0.011 0.500 0.002
Sr4 Sr 0.267 0.263 0.628
Sr5 Sr 0.281 0.261 0.133
Sr6 Sr 0.495 0.500 0.483
Ag1 Ag 0.214 0.000 0.352
Ag2 Ag 0.218 0.000 0.850
Pd1 Pd 0.064 0.249 0.276
Pd2 Pd 0.215 0.500 0.351
Pd3 Pd 0.223 0.500 0.855
```

total moment = 0.0 μB per formula unit

version B (96 meV/atom below the next structure)

Version A
Compound: SrAg3Pd
Source: Alexandria via LeMat-Bulk
Functional: PBE
Structure: optimized geometry

CIF file:
```
data_SrAg3Pd
_symmetry_space_group_name_H-M 'P m -3 m'
_symmetry_Int_Tables_number 221
_symmetry_space_group_name_Hall '-P 4 2 3'
_cell_length_a 5.137
_cell_length_b 5.137
_cell_length_c 5.137
_cell_angle_alpha 90.00
_cell_angle_beta 90.00
_cell_angle_gamma 90.00
loop_
_atom_site_label
_atom_site_type_symbol
_atom_site_fract_x
_atom_site_fract_y
_atom_site_fract_z
Sr1 Sr 0.000 0.000 0.000
Ag1 Ag 0.000 0.500 0.500
Pd1 Pd 0.500 0.500 0.500
```

total moment = 0.0 μB per formula unit

Version B
Compound: SrAg3Pd
Source: Alexandria via LeMat-Bulk
Functional: PBE
Structure: optimized geometry

CIF file:
```
data_SrAg3Pd
_symmetry_space_group_name_H-M 'P m -3 m'
_symmetry_Int_Tables_number 221
_symmetry_space_group_name_Hall '-P 4 2 3'
_cell_length_a 5.616
_cell_length_b 5.616
_cell_length_c 5.616
_cell_angle_alpha 90.00
_cell_angle_beta 90.00
_cell_angle_gamma 90.00
loop_
_atom_site_label
_atom_site_type_symbol
_atom_site_fract_x
_atom_site_fract_y
_atom_site_fract_z
Sr1 Sr 0.000 0.000 0.000
Ag1 Ag 0.000 0.000 0.500
Pd1 Pd 0.500 0.500 0.500
```

total moment = 0.0 μB per formula unit

version A (1209 meV/atom below the next structure)

Version A
Compound: SrAg3Pd
Source: Alexandria via LeMat-Bulk
Functional: PBE
Structure: optimized geometry

CIF file:
```
data_SrAg3Pd
_symmetry_space_group_name_H-M 'C m c m'
_symmetry_Int_Tables_number 63
_symmetry_space_group_name_Hall '-C 2c 2'
_cell_length_a 5.780
_cell_length_b 13.587
_cell_length_c 5.619
_cell_angle_alpha 90.00
_cell_angle_beta 90.00
_cell_angle_gamma 90.00
loop_
_atom_site_label
_atom_site_type_symbol
_atom_site_fract_x
_atom_site_fract_y
_atom_site_fract_z
Sr1 Sr 0.000 0.094 0.250
Ag1 Ag 0.000 0.319 0.750
Ag2 Ag 0.245 0.354 0.250
Pd1 Pd 0.000 0.500 0.000
```

total moment = 0.0 μB per formula unit

Version B
Compound: SrAg3Pd
Source: Alexandria via LeMat-Bulk
Functional: PBE
Structure: optimized geometry

CIF file:
```
data_SrAg3Pd
_symmetry_space_group_name_H-M 'P 1 21/m 1'
_symmetry_Int_Tables_number 11
_cell_length_a 5.554
_cell_length_b 5.726
_cell_length_c 7.354
_cell_angle_alpha 90.00
_cell_angle_beta 110.67
_cell_angle_gamma 90.00
loop_
_symmetry_equiv_pos_as_xyz
'x,y,z'
'-x,-y,-z'
'-x,y+1/2,-z'
'x,-y+1/2,z'
loop_
_atom_site_label
_atom_site_type_symbol
_atom_site_fract_x
_atom_site_fract_y
_atom_site_fract_z
Sr1 Sr 0.209 0.250 0.151
Ag1 Ag 0.211 0.007 0.679
Ag2 Ag 0.323 0.750 0.386
Pd1 Pd 0.389 0.750 0.030
```

total moment = 0.0 μB per formula unit

version B (10 meV/atom below the next structure)

Version A
Compound: SrAgPd4
Source: Alexandria via LeMat-Bulk
Functional: PBE
Structure: optimized geometry

CIF file:
```
data_SrAgPd4
_symmetry_space_group_name_H-M 'F -4 3 m'
_symmetry_Int_Tables_number 216
_symmetry_space_group_name_Hall 'F -4 2 3'
_cell_length_a 7.706
_cell_length_b 7.706
_cell_length_c 7.706
_cell_angle_alpha 90.00
_cell_angle_beta 90.00
_cell_angle_gamma 90.00
loop_
_atom_site_label
_atom_site_type_symbol
_atom_site_fract_x
_atom_site_fract_y
_atom_site_fract_z
Sr1 Sr 0.000 0.000 0.000
Ag1 Ag 0.250 0.250 0.750
Pd1 Pd 0.125 0.125 0.375
```

total moment = 0.0 μB per formula unit

Version B
Compound: SrAgPd4
Source: Alexandria via LeMat-Bulk
Functional: PBE
Structure: optimized geometry

CIF file:
```
data_SrAgPd4
_symmetry_space_group_name_H-M 'P m m a'
_symmetry_Int_Tables_number 51
_cell_length_a 7.927
_cell_length_b 4.177
_cell_length_c 7.094
_cell_angle_alpha 90.00
_cell_angle_beta 90.00
_cell_angle_gamma 90.00
loop_
_symmetry_equiv_pos_as_xyz
'x,y,z'
'-x,-y,-z'
'-x+1/2,-y,z'
'x+1/2,y,-z'
'x+1/2,-y,-z'
'-x+1/2,y,z'
'-x,y,-z'
'x,-y,z'
loop_
_atom_site_label
_atom_site_type_symbol
_atom_site_fract_x
_atom_site_fract_y
_atom_site_fract_z
Sr1 Sr 0.250 0.000 0.155
Ag1 Ag 0.250 0.000 0.746
Pd1 Pd 0.000 0.000 0.500
Pd2 Pd 0.034 0.500 0.797
Pd3 Pd 0.250 0.500 0.471
```

total moment = 0.0 μB per formula unit

version A (151 meV/atom below the next structure)

Version A
Compound: SrTlAgPd
Source: Alexandria via LeMat-Bulk
Functional: PBE
Structure: optimized geometry

CIF file:
```
data_SrTlAgPd
_symmetry_space_group_name_H-M 'C 1 m 1'
_symmetry_Int_Tables_number 8
_cell_length_a 8.379
_cell_length_b 4.859
_cell_length_c 5.836
_cell_angle_alpha 90.00
_cell_angle_beta 118.83
_cell_angle_gamma 90.00
loop_
_symmetry_equiv_pos_as_xyz
'x,y,z'
'x,-y,z'
'x+1/2,y+1/2,z'
'x+1/2,-y+1/2,z'
loop_
_atom_site_label
_atom_site_type_symbol
_atom_site_fract_x
_atom_site_fract_y
_atom_site_fract_z
Sr1 Sr 0.000 0.000 0.000
Tl1 Tl 0.023 0.500 0.569
Ag1 Ag 0.292 0.500 0.377
Pd1 Pd 0.199 0.000 0.601
```

total moment = 0.0 μB per formula unit

Version B
Compound: SrTlAgPd
Source: Alexandria via LeMat-Bulk
Functional: PBE
Structure: optimized geometry

CIF file:
```
data_SrTlAgPd
_symmetry_space_group_name_H-M 'F -4 3 m'
_symmetry_Int_Tables_number 216
_symmetry_space_group_name_Hall 'F -4 2 3'
_cell_length_a 7.242
_cell_length_b 7.242
_cell_length_c 7.242
_cell_angle_alpha 90.00
_cell_angle_beta 90.00
_cell_angle_gamma 90.00
loop_
_atom_site_label
_atom_site_type_symbol
_atom_site_fract_x
_atom_site_fract_y
_atom_site_fract_z
Sr1 Sr 0.000 0.000 0.000
Tl1 Tl 0.000 0.000 0.500
Ag1 Ag 0.250 0.250 0.750
Pd1 Pd 0.250 0.250 0.250
```

total moment = 0.0 μB per formula unit

version A (77 meV/atom below the next structure)